Re2TeRu: PBEsol geometry, SCAN.

POSCAR file:
```
Re2TeRu
1.0
-1.406 1.538 2.063
0.472 -3.610 3.012
4.637 1.328 0.087
Re Ru Te
2 1 1
direct
0.984 0.968 0.969 Re
0.249 0.754 0.498 Re
0.516 0.517 0.032 Ru
0.751 0.261 0.501 Te
```

Calculated values
ΔE_f (raw) = 2.32 eV per formula unit
Magnetization = 0.0 Bohr magnetons per cell